No. 1
## Ta2CuAsN (PBE)

Data for an optimized crystal structure of Ta2CuAsN.

SG   P4/mmm
N(E_F)   1.419 states/eV/atom
Formation energy without anion corrections   0.91 eV/f.u.

a b c (Å): 4.130 4.130 4.591
angles (deg): 90.00 90.00 90.00
Positions (direct):
Ta: 0.000 0.500 0.000
Ta: 0.500 0.000 0.000
Cu: 0.000 0.000 0.500
As: 0.500 0.500 0.500
N: 0.500 0.500 0.000

***

No. 2
## TiCuAsN2 (PBE)

Data for an optimized crystal structure of TiCuAsN2.

SG   P4/mmm
N(E_F)   0.931 states/eV/atom
Formation energy without anion corrections   6.17 eV/f.u.

a b c (Å): 3.871 3.871 4.408
angles (deg): 90.00 90.00 90.00
Positions (direct):
Ti: 0.000 0.000 0.000
Cu: 0.500 0.500 0.000
As: 0.500 0.500 0.500
N: 0.000 0.500 0.500
N: 0.500 0.000 0.500

***

No. 3
## TiCu2AsN (PBE)

Data for an optimized crystal structure of TiCu2AsN.

SG   P4/mmm
N(E_F)   1.004 states/eV/atom
Formation energy without anion corrections   5.90 eV/f.u.

a b c (Å): 4.279 4.279 4.930
angles (deg): 90.00 90.00 90.00
Positions (direct):
Ti: 0.000 0.000 0.000
Cu: 0.000 0.500 0.500
Cu: 0.500 0.000 0.500
As: 0.000 0.000 0.500
N: 0.500 0.500 0.000

***

No. 4
## TlCu2AsN (PBE)

Data for an optimized crystal structure of TlCu2AsN.

SG   P4/mmm
N(E_F)   0.391 states/eV/atom
Formation energy without anion corrections   5.75 eV/f.u.

a b c (Å): 4.461 4.461 6.004
angles (deg): 90.00 90.00 90.00
Positions (direct):
Tl: 0.000 0.000 0.000
Cu: 0.000 0.500 0.500
Cu: 0.500 0.000 0.500
As: 0.000 0.000 0.500
N: 0.500 0.500 0.000